VASP calculation (GGA+U) on a relaxed VO2F crystal.

Output
For the total magnetization, the calculation gives 0.00 μB/f.u. As for the energy: -6.815 eV/atom.

a = 7.527 Å, b = 6.027 Å, c = 5.956 Å
α = 90.00°, β = 90.61°, γ = 90.00°
Space group P2_1/c (No. 14)
One atom of each set of equivalent atoms:
V 0.229 0.098 0.251
O 0.020 0.041 0.249
O 0.283 0.250 0.002
F 0.348 0.655 0.753